Below is a relaxed GaPSN2 crystal, with properties calculated at the PBE-GGA level.

Lattice parameters (Å, degrees): 3.3790 3.3790 6.5957 90.00 90.00 90.00
Atoms (fractional coordinates):
Ga: 0.0000 0.0000 0.0000
P: 0.5000 0.5000 0.5000
S: 0.5000 0.5000 0.0000
N: 0.0000 0.5000 0.5000
N: 0.5000 0.0000 0.5000

Summary:
D(E_F)	0.18	states/eV per atom
excess energy over the best structure of this formula in the dataset	0.000	eV/atom
size of the total moment	0.5	μB per cell
formation energy (no corrections)	0.6078	eV/atom

Below is a relaxed GaPSN2 crystal, with properties calculated at the PBE-GGA level.

Lattice parameters (Å, degrees): 3.8478 3.8478 5.0819 90.00 90.00 90.00
Atoms (fractional coordinates):
Ga: 0.0000 0.0000 0.0000
P: 0.5000 0.5000 0.5000
S: 0.0000 0.0000 0.5000
N: 0.0000 0.5000 0.0000
N: 0.5000 0.0000 0.0000

Summary:
D(E_F)	0.55	states/eV per atom
excess energy over the best structure of this formula in the dataset	0.884	eV/atom
size of the total moment	2.1	μB per cell
formation energy (no corrections)	1.4914	eV/atom

Below is a relaxed GaSbP2N crystal, with properties calculated at the PBE-GGA level.

Lattice parameters (Å, degrees): 4.1683 4.1683 4.7375 90.00 90.00 90.00
Atoms (fractional coordinates):
Ga: 0.0000 0.0000 0.0000
Sb: 0.5000 0.5000 0.0000
P: 0.0000 0.5000 0.5000
P: 0.5000 0.0000 0.5000
N: 0.5000 0.5000 0.5000

Summary:
D(E_F)	0.52	states/eV per atom
size of the total moment	0.0	μB per cell
formation energy (no corrections)	0.7933	eV/atom

Below is a relaxed GaPSeN2 crystal, with properties calculated at the PBE-GGA level.

Lattice parameters (Å, degrees): 3.4696 3.4696 6.8031 90.00 90.00 90.00
Atoms (fractional coordinates):
Ga: 0.0000 0.0000 0.0000
P: 0.5000 0.5000 0.5000
Se: 0.5000 0.5000 0.0000
N: 0.0000 0.5000 0.5000
N: 0.5000 0.0000 0.5000

Summary:
D(E_F)	0.28	states/eV per atom
excess energy over the best structure of this formula in the dataset	0.000	eV/atom
size of the total moment	0.7	μB per cell
formation energy (no corrections)	0.7081	eV/atom

Below is a relaxed GaPSe2N crystal, with properties calculated at the PBE-GGA level.

Lattice parameters (Å, degrees): 5.1926 5.1926 3.2434 90.00 90.00 90.00
Atoms (fractional coordinates):
Ga: 0.0000 0.0000 0.0000
P: 0.5000 0.5000 0.5000
Se: 0.0000 0.5000 0.5000
Se: 0.5000 0.0000 0.5000
N: 0.5000 0.5000 0.0000

Summary:
D(E_F)	0.21	states/eV per atom
excess energy over the best structure of this formula in the dataset	0.000	eV/atom
size of the total moment	0.0	μB per cell
formation energy (no corrections)	0.4099	eV/atom

Below is a relaxed GaPSeN2 crystal, with properties calculated at the PBE-GGA level.

Lattice parameters (Å, degrees): 3.7015 3.7015 7.4485 90.00 90.00 90.00
Atoms (fractional coordinates):
Ga: 0.0000 0.0000 0.0000
P: 0.5000 0.5000 0.5000
Se: 0.0000 0.0000 0.5000
N: 0.0000 0.5000 0.0000
N: 0.5000 0.0000 0.0000

Summary:
D(E_F)	0.56	states/eV per atom
excess energy over the best structure of this formula in the dataset	0.709	eV/atom
size of the total moment	2.3	μB per cell
formation energy (no corrections)	1.4173	eV/atom

Below is a relaxed GaPSe2N crystal, with properties calculated at the PBE-GGA level.

Lattice parameters (Å, degrees): 5.1412 5.1412 3.5803 90.00 90.00 90.00
Atoms (fractional coordinates):
Ga: 0.0000 0.0000 0.0000
P: 0.5000 0.5000 0.5000
Se: 0.0000 0.5000 0.0000
Se: 0.5000 0.0000 0.0000
N: 0.0000 0.0000 0.5000

Summary:
D(E_F)	1.42	states/eV per atom
excess energy over the best structure of this formula in the dataset	0.581	eV/atom
size of the total moment	0.0	μB per cell
formation energy (no corrections)	0.9906	eV/atom

Below is a relaxed Sr2GaPN crystal, with properties calculated at the PBE-GGA level.

Lattice parameters (Å, degrees): 6.8726 3.8974 9.0461 90.00 111.85 90.00
Atoms (fractional coordinates):
Sr: 0.1718 0.2500 0.3724
Sr: 0.2165 0.2500 0.9807
Sr: 0.7835 0.7500 0.0193
Sr: 0.8282 0.7500 0.6276
Ga: 0.4806 0.7500 0.2870
Ga: 0.5194 0.2500 0.7130
P: 0.3130 0.7500 0.7258
P: 0.6870 0.2500 0.2742
N: 0.1824 0.7500 0.1733
N: 0.8176 0.2500 0.8267

Summary:
D(E_F)	0.36	states/eV per atom
size of the total moment	0.0	μB per cell
formation energy (no corrections)	-0.7472	eV/atom

Below is a relaxed Sr2GaP2N6 crystal, with properties calculated at the PBE-GGA level.

Lattice parameters (Å, degrees): 6.4651 6.4651 6.4651 50.73 50.73 50.73
Atoms (fractional coordinates):
Sr: 0.2114 0.2114 0.2114
Sr: 0.7886 0.7886 0.7886
Ga: 0.0000 0.0000 0.0000
P: 0.4090 0.4090 0.4090
P: 0.5910 0.5910 0.5910
N: 0.2479 0.2479 0.7406
N: 0.2479 0.7406 0.2479
N: 0.2594 0.7521 0.7521
N: 0.7406 0.2479 0.2479
N: 0.7521 0.2594 0.7521
N: 0.7521 0.7521 0.2594

Summary:
D(E_F)	0.41	states/eV per atom
size of the total moment	0.0	μB per cell
formation energy (no corrections)	-0.4489	eV/atom

Below is a relaxed TaGaPN2 crystal, with properties calculated at the PBE-GGA level.

Lattice parameters (Å, degrees): 3.6434 3.6434 5.0737 90.00 90.00 90.00
Atoms (fractional coordinates):
Ta: 0.0000 0.0000 0.0000
Ga: 0.5000 0.5000 0.0000
P: 0.0000 0.0000 0.5000
N: 0.0000 0.5000 0.5000
N: 0.5000 0.0000 0.5000

Summary:
D(E_F)	0.58	states/eV per atom
size of the total moment	0.0	μB per cell
formation energy (no corrections)	1.1632	eV/atom

Below is a relaxed GaTePN2 crystal, with properties calculated at the PBE-GGA level.

Lattice parameters (Å, degrees): 3.7880 3.7880 8.0160 90.00 90.00 90.00
Atoms (fractional coordinates):
Ga: 0.0000 0.0000 0.0000
Te: 0.0000 0.0000 0.5000
P: 0.5000 0.5000 0.5000
N: 0.0000 0.5000 0.0000
N: 0.5000 0.0000 0.0000

Summary:
D(E_F)	0.65	states/eV per atom
excess energy over the best structure of this formula in the dataset	0.398	eV/atom
size of the total moment	2.2	μB per cell
formation energy (no corrections)	1.3940	eV/atom

Below is a relaxed GaTePN2 crystal, with properties calculated at the PBE-GGA level.

Lattice parameters (Å, degrees): 3.6135 3.6135 6.6628 90.00 90.00 90.00
Atoms (fractional coordinates):
Ga: 0.0000 0.0000 0.0000
Te: 0.5000 0.5000 0.0000
P: 0.5000 0.5000 0.5000
N: 0.0000 0.5000 0.5000
N: 0.5000 0.0000 0.5000

Summary:
D(E_F)	0.32	states/eV per atom
excess energy over the best structure of this formula in the dataset	0.000	eV/atom
size of the total moment	0.5	μB per cell
formation energy (no corrections)	0.9956	eV/atom

Below is a relaxed ZnGa2PN crystal, with properties calculated at the PBE-GGA level.

Lattice parameters (Å, degrees): 4.7467 4.7467 4.4994 90.00 90.00 90.00
Atoms (fractional coordinates):
Zn: 0.0000 0.0000 0.0000
Ga: 0.0000 0.5000 0.0000
Ga: 0.5000 0.0000 0.0000
P: 0.0000 0.0000 0.5000
N: 0.5000 0.5000 0.5000

Summary:
D(E_F)	0.72	states/eV per atom
size of the total moment	0.0	μB per cell
formation energy (no corrections)	1.4804	eV/atom

Below is a relaxed PaGaN crystal, with properties calculated at the PBE-GGA level.

Lattice parameters (Å, degrees): 3.7843 3.7843 4.9458 90.00 90.00 120.00
Atoms (fractional coordinates):
Pa: 0.0000 0.0000 0.0000
Ga: 0.6667 0.3333 0.5000
N: 0.3333 0.6667 0.0000

Summary:
D(E_F)	0.85	states/eV per atom
excess energy over the best structure of this formula in the dataset	0.426	eV/atom
size of the total moment	0.0	μB per cell
formation energy (no corrections)	-0.7096	eV/atom

Below is a relaxed Pa3GaN crystal, with properties calculated at the PBE-GGA level.

Lattice parameters (Å, degrees): 4.6988 4.6988 4.6988 90.00 90.00 90.00
Atoms (fractional coordinates):
Pa: 0.0000 0.0000 0.5000
Pa: 0.0000 0.5000 0.0000
Pa: 0.5000 0.0000 0.0000
Ga: 0.5000 0.5000 0.5000
N: 0.0000 0.0000 0.0000

Summary:
D(E_F)	1.30	states/eV per atom
size of the total moment	0.0	μB per cell
formation energy (no corrections)	-0.6655	eV/atom

Below is a relaxed PaGaN crystal, with properties calculated at the PBE-GGA level.

Lattice parameters (Å, degrees): 3.8909 13.4789 4.0903 90.00 90.00 90.00
Atoms (fractional coordinates):
Pa: 0.0000 0.1658 0.2500
Pa: 0.0000 0.8342 0.7500
Pa: 0.5000 0.3342 0.7500
Pa: 0.5000 0.6658 0.2500
Ga: 0.0000 0.4505 0.2500
Ga: 0.0000 0.5495 0.7500
Ga: 0.5000 0.0495 0.7500
Ga: 0.5000 0.9505 0.2500
N: 0.0000 0.2487 0.7500
N: 0.0000 0.7513 0.2500
N: 0.5000 0.2513 0.2500
N: 0.5000 0.7487 0.7500

Summary:
D(E_F)	0.72	states/eV per atom
excess energy over the best structure of this formula in the dataset	0.000	eV/atom
size of the total moment	0.0	μB per cell
formation energy (no corrections)	-1.1356	eV/atom

Below is a relaxed PaGaN crystal, with properties calculated at the PBE-GGA level.

Lattice parameters (Å, degrees): 4.1131 4.1131 6.7849 90.00 90.00 90.00
Atoms (fractional coordinates):
Pa: 0.0000 0.0000 0.0000
Pa: 0.5000 0.5000 0.5000
Ga: 0.0000 0.0000 0.4154
Ga: 0.5000 0.5000 0.9154
N: 0.0000 0.0000 0.6977
N: 0.5000 0.5000 0.1977

Summary:
D(E_F)	1.02	states/eV per atom
excess energy over the best structure of this formula in the dataset	1.074	eV/atom
size of the total moment	0.0	μB per cell
formation energy (no corrections)	-0.0614	eV/atom

Below is a relaxed Pa3GaN6 crystal, with properties calculated at the PBE-GGA level.

Lattice parameters (Å, degrees): 7.1967 7.1967 5.6061 90.00 90.00 101.40
Atoms (fractional coordinates):
Pa: 0.1063 0.8937 0.5000
Pa: 0.1885 0.4158 0.5516
Pa: 0.4158 0.1885 0.0516
Pa: 0.5842 0.8115 0.5516
Pa: 0.8115 0.5842 0.0516
Pa: 0.8937 0.1063 0.0000
Ga: 0.3226 0.6774 0.0550
Ga: 0.6774 0.3226 0.5550
N: 0.0920 0.5985 0.2557
N: 0.1465 0.1677 0.2768
N: 0.1677 0.1465 0.7768
N: 0.2741 0.7259 0.7139
N: 0.4015 0.9080 0.2557
N: 0.4965 0.5035 0.9636
N: 0.5035 0.4965 0.4636
N: 0.5985 0.0920 0.7557
N: 0.7259 0.2741 0.2139
N: 0.8323 0.8535 0.2768
N: 0.8535 0.8323 0.7768
N: 0.9080 0.4015 0.7557

Summary:
size of the total moment	0.0	μB per cell
formation energy (no corrections)	-1.3571	eV/atom

Below is a relaxed PaGaN crystal, with properties calculated at the PBE-GGA level.

Lattice parameters (Å, degrees): 3.5031 3.5031 16.4424 90.00 90.00 90.00
Atoms (fractional coordinates):
Pa: 0.0000 0.0000 0.1679
Pa: 0.0000 0.0000 0.8321
Pa: 0.5000 0.5000 0.3321
Pa: 0.5000 0.5000 0.6679
Ga: 0.0000 0.5000 0.0000
Ga: 0.0000 0.5000 0.5000
Ga: 0.5000 0.0000 0.0000
Ga: 0.5000 0.0000 0.5000
N: 0.0000 0.0000 0.3028
N: 0.0000 0.0000 0.6972
N: 0.5000 0.5000 0.1972
N: 0.5000 0.5000 0.8028

Summary:
D(E_F)	1.21	states/eV per atom
excess energy over the best structure of this formula in the dataset	0.233	eV/atom
size of the total moment	1.1	μB per cell
formation energy (no corrections)	-0.9030	eV/atom

Below is a relaxed PaGaPdN crystal, with properties calculated at the PBE-GGA level.

Lattice parameters (Å, degrees): 4.0893 4.0893 8.0757 90.00 90.00 90.00
Atoms (fractional coordinates):
Pa: 0.2500 0.2500 0.1329
Pa: 0.7500 0.7500 0.8671
Ga: 0.2500 0.7500 0.5000
Ga: 0.7500 0.2500 0.5000
Pd: 0.2500 0.2500 0.6869
Pd: 0.7500 0.7500 0.3131
N: 0.2500 0.7500 0.0000
N: 0.7500 0.2500 0.0000

Summary:
D(E_F)	0.59	states/eV per atom
size of the total moment	0.0	μB per cell
formation energy (no corrections)	-1.0455	eV/atom